(1)
Computed, not measured: a crystal of SrMnAl3 relaxed with PBEsol at the meta-GGA SCAN level of DFT. Values from VASP.

energy relative to the elements = -0.20 eV/atom

Cell and atoms, written as Quantum ESPRESSO input:
```
&SYSTEM
  ibrav = 0, nat = 5, ntyp = 3
/
ATOMIC_SPECIES
Sr 87.62 Sr.upf
Mn 54.94 Mn.upf
Al 26.98 Al.upf
ATOMIC_POSITIONS crystal
Sr 0.000 0.000 0.000
Mn 0.500 0.500 0.500
Al 0.000 0.500 0.500
Al 0.500 0.000 0.500
Al 0.500 0.500 0.000
CELL_PARAMETERS angstrom
4.638 0.000 0.000
0.000 4.638 0.000
0.000 0.000 4.638
```



(2)
Computed, not measured: a crystal of KLiSe2 relaxed with PBEsol at the meta-GGA SCAN level of DFT. Values from VASP.

E_form (uncorrected) = -306.3 kJ/mol of formula units

Cell and atoms, written as Quantum ESPRESSO input:
```
&SYSTEM
  ibrav = 0, nat = 4, ntyp = 3
/
ATOMIC_SPECIES
K 39.10 K.upf
Li 6.94 Li.upf
Se 78.96 Se.upf
ATOMIC_POSITIONS crystal
K 0.000 0.000 0.000
Li 0.500 0.500 0.000
Se 0.000 0.500 0.500
Se 0.500 0.000 0.500
CELL_PARAMETERS angstrom
5.648 0.000 0.000
0.000 5.648 0.000
0.000 0.000 2.819
```



(3)
Computed, not measured: a crystal of Y2AsIr relaxed with PBEsol at the meta-GGA SCAN level of DFT. Values from VASP.

energy relative to the elements = -1.26 eV/atom

Cell and atoms, written as Quantum ESPRESSO input:
```
&SYSTEM
  ibrav = 0, nat = 4, ntyp = 3
/
ATOMIC_SPECIES
Y 88.91 Y.upf
As 74.92 As.upf
Ir 192.22 Ir.upf
ATOMIC_POSITIONS crystal
Y 0.000 0.000 0.000
Y 0.500 0.280 0.280
As 0.500 0.562 0.562
Ir 0.000 0.728 0.728
CELL_PARAMETERS angstrom
4.188 0.000 0.000
0.000 1.918 5.279
0.000 -1.918 5.279
```



(4)
Computed, not measured: a crystal of YTlCrPd2 relaxed with PBEsol at the meta-GGA SCAN level of DFT. Values from VASP.

energy relative to the elements = 0.31 eV/atom

Cell and atoms, written as Quantum ESPRESSO input:
```
&SYSTEM
  ibrav = 0, nat = 5, ntyp = 4
/
ATOMIC_SPECIES
Y 88.91 Y.upf
Tl 204.38 Tl.upf
Cr 52.00 Cr.upf
Pd 106.42 Pd.upf
ATOMIC_POSITIONS crystal
Y 0.000 0.000 0.000
Tl 0.500 0.500 0.000
Cr 0.500 0.500 0.500
Pd 0.000 0.500 0.500
Pd 0.500 0.000 0.500
CELL_PARAMETERS angstrom
4.607 0.000 0.000
0.000 4.607 0.000
0.000 0.000 4.926
```



(5)
Computed, not measured: a crystal of LaZnIn2 relaxed with PBEsol at the meta-GGA SCAN level of DFT. Values from VASP.

energy relative to the elements = -0.03 eV/atom

Cell and atoms, written as Quantum ESPRESSO input:
```
&SYSTEM
  ibrav = 0, nat = 4, ntyp = 3
/
ATOMIC_SPECIES
La 138.91 La.upf
Zn 65.41 Zn.upf
In 114.82 In.upf
ATOMIC_POSITIONS crystal
La 0.000 0.000 0.000
Zn 0.751 0.751 0.751
In 0.240 0.240 0.240
In 0.490 0.490 0.490
CELL_PARAMETERS angstrom
1.668 0.963 10.215
-1.668 0.963 10.215
0.000 -1.926 10.215
```



(6)
Computed, not measured: a crystal of HfZnPS2 relaxed with PBEsol at the meta-GGA SCAN level of DFT. Values from VASP.

E_form (uncorrected) = -59.9 kJ/mol of formula units

Cell and atoms, written as Quantum ESPRESSO input:
```
&SYSTEM
  ibrav = 0, nat = 5, ntyp = 4
/
ATOMIC_SPECIES
Hf 178.49 Hf.upf
Zn 65.41 Zn.upf
P 30.97 P.upf
S 32.06 S.upf
ATOMIC_POSITIONS crystal
Hf 0.000 0.000 0.000
Zn 0.500 0.500 0.500
P 0.000 0.000 0.500
S 0.000 0.500 0.000
S 0.500 0.000 0.000
CELL_PARAMETERS angstrom
4.802 0.000 0.000
0.000 4.802 0.000
0.000 0.000 5.092
```



(7)
Computed, not measured: a crystal of Ba3CdO relaxed with PBEsol at the meta-GGA SCAN level of DFT. Values from VASP.

E_form (uncorrected) = -597.1 kJ/mol of formula units

Cell and atoms, written as Quantum ESPRESSO input:
```
&SYSTEM
  ibrav = 0, nat = 5, ntyp = 3
/
ATOMIC_SPECIES
Ba 137.33 Ba.upf
Cd 112.41 Cd.upf
O 16.00 O.upf
ATOMIC_POSITIONS crystal
Ba 0.000 0.000 0.500
Ba 0.000 0.500 0.000
Ba 0.500 0.000 0.000
Cd 0.500 0.500 0.500
O 0.000 0.000 0.000
CELL_PARAMETERS angstrom
5.465 0.000 0.000
0.000 5.465 0.000
0.000 0.000 5.465
```



(8)
Computed, not measured: a crystal of Rb3PH relaxed with PBEsol at the meta-GGA SCAN level of DFT. Values from VASP.

E_tot = -15.11 eV per atom

Cell and atoms, written as Quantum ESPRESSO input:
```
&SYSTEM
  ibrav = 0, nat = 5, ntyp = 3
/
ATOMIC_SPECIES
Rb 85.47 Rb.upf
P 30.97 P.upf
H 1.01 H.upf
ATOMIC_POSITIONS crystal
Rb 0.000 0.000 0.500
Rb 0.000 0.500 0.000
Rb 0.500 0.000 0.000
P 0.000 0.000 0.000
H 0.500 0.500 0.500
CELL_PARAMETERS angstrom
6.346 0.000 0.000
0.000 6.346 0.000
0.000 0.000 6.346
```



| no. | magnetization (μB/atom) |
| --- | --- |
| 1 | 0.000 |
| 2 | 0.000 |
| 3 | 0.000 |
| 4 | 0.001 |
| 5 | 0.000 |
| 6 | 0.000 |
| 7 | 0.000 |
| 8 | 0.200 |